No. 1
# CdGa2PO

A geometry-optimized CdGa2PO structure (PBE-GGA, the Alexandria database).

Unit cell a=4.830 b=4.980 c=4.830 alpha=90.00 beta=90.00 gamma=90.00
Positions (direct):
O1 0.500 0.500 0.500
Cd1 0.000 0.500 0.000
P1 0.000 0.000 0.000
Ga1 0.500 0.000 0.000
Ga2 0.000 0.000 0.500

Space group = No. 123
Uncorrected formation energy = 0.51 eV/atom

No. 2
# BeNb2Mo2

A geometry-optimized BeNb2Mo2 structure (PBE-GGA, the Alexandria database).

Unit cell a=3.570 b=3.570 c=7.319 alpha=75.89 beta=75.89 gamma=90.00
Positions (direct):
Mo1 0.750 0.250 0.500
Mo2 0.250 0.750 0.500
Be1 0.000 0.000 0.000
Nb1 0.586 0.586 0.828
Nb2 0.414 0.414 0.172

ΔE to the lowest computed polymorph = 0.202 eV per atom
Space group = No. 139
ΔE_f = 781 meV per atom

No. 3
# AcSm2Ho9

A geometry-optimized AcSm2Ho9 structure (PBE-GGA, the Alexandria database).

Unit cell a=5.060 b=5.060 c=15.196 alpha=90.00 beta=90.00 gamma=90.00
Positions (direct):
Ho1 0.500 0.500 0.336
Ho2 0.500 0.500 0.000
Ho3 0.000 0.500 0.827
Ho4 0.500 0.000 0.827
Ho5 0.500 0.500 0.664
Ho6 0.000 0.500 0.173
Ho7 0.500 0.000 0.500
Ho8 0.500 0.000 0.173
Ho9 0.000 0.500 0.500
Ac1 0.000 0.000 0.000
Sm1 0.000 0.000 0.335
Sm2 0.000 0.000 0.665

Space group = No. 123
ΔE_f = 37 meV per atom

No. 4
# HfHgS2

A geometry-optimized HfHgS2 structure (PBE-GGA, the Alexandria database).

Unit cell a=7.365 b=7.365 c=7.365 alpha=33.40 beta=33.40 gamma=33.40
Positions (direct):
Hg1 0.434 0.434 0.434
S1 0.146 0.146 0.146
S2 0.645 0.645 0.645
Hf1 0.026 0.026 0.026

Space group = No. 160
Uncorrected formation energy = -0.65 eV/atom

No. 5
# Ce2ZrAu

A geometry-optimized Ce2ZrAu structure (PBE-GGA, the Alexandria database).

Unit cell a=5.187 b=4.217 c=4.217 alpha=90.00 beta=90.00 gamma=90.00
Site moments in Bohr magnetons follow the coordinates.
Positions (direct):
Ce1 0.000 0.000 0.500  0.12
Ce2 0.000 0.500 0.000  0.12
Zr1 0.500 0.500 0.500  0.02
Au1 0.500 0.000 0.000  0.00

ΔE to the lowest computed polymorph = 0.017 eV per atom
Space group = No. 123
ΔE_f = -176 meV per atom

No. 6
# NaPS2Cl

A geometry-optimized NaPS2Cl structure (PBE-GGA, the Alexandria database).

Unit cell a=4.488 b=4.488 c=5.285 alpha=90.00 beta=90.00 gamma=90.00
Positions (direct):
S1 0.000 0.500 0.000
S2 0.500 0.000 0.000
P1 0.000 0.000 0.000
Cl1 0.000 0.000 0.500
Na1 0.500 0.500 0.500

ΔE to the lowest computed polymorph = 0.000 eV per atom
Space group = No. 123
Uncorrected formation energy = -0.29 eV/atom

No. 7
# KBeSnO2

A geometry-optimized KBeSnO2 structure (PBE-GGA, the Alexandria database).

Unit cell a=4.326 b=6.221 c=4.326 alpha=90.00 beta=90.00 gamma=90.00
Positions (direct):
K1 0.000 0.000 0.000
O1 0.000 0.000 0.500
O2 0.500 0.000 0.000
Sn1 0.000 0.500 0.000
Be1 0.500 0.500 0.500

Space group = No. 123
Uncorrected formation energy = 1.25 eV/atom

No. 8
# Rb2CdReI6

A geometry-optimized Rb2CdReI6 structure (PBE-GGA, the Alexandria database).

Unit cell a=8.502 b=8.502 c=8.520 alpha=60.07 beta=60.07 gamma=90.00
Site moments in Bohr magnetons follow the coordinates.
Positions (direct):
I1 0.769 0.231 0.000  0.03
I2 0.230 0.230 0.541  0.03
I3 0.231 0.231 0.000  0.03
I4 0.770 0.770 0.459  0.03
I5 0.769 0.769 0.000  0.03
I6 0.231 0.769 0.000  0.03
Rb1 0.250 0.750 0.500  0.00
Rb2 0.750 0.250 0.500  0.00
Re1 0.000 0.000 0.000  2.23
Cd1 0.500 0.500 0.000  -0.01

Space group = No. 139
Uncorrected formation energy = -0.50 eV/atom

Number 1: E_tot -0.2170 Ry/atom. Number 2: E_tot -0.6118 Ry/atom. Number 3: E_tot -0.3326 Ry/atom. Number 4: E_tot -0.3876 Ry/atom. Number 5: E_tot -0.4483 Ry/atom. Number 6: E_tot -0.2689 Ry/atom. Number 7: E_tot -0.1836 Ry/atom. Number 8: E_tot -0.2178 Ry/atom.